! GGA-PBE KBaSc2, relaxed; values from VASP
! total DFT energy (no corrections) = -3.580 eV per atom
! calculated formation energy = 0.34 eV/atom
! calculated volume = 163 Å³/cell
! E above lowest polymorph = 0.00 eV/f.u.
! space-group type = Pm
&SYSTEM
  ibrav = 0, nat = 4, ntyp = 3
/
ATOMIC_SPECIES
Ba 137.33 Ba.upf
Sc 44.96 Sc.upf
K 39.10 K.upf
ATOMIC_POSITIONS angstrom
Ba -2.8413 -5.2259 1.4962
Sc 0.6389 -3.8792 -0.1304
Sc -2.1018 -2.6396 -1.0711
K -6.3142 -8.3754 1.0652
CELL_PARAMETERS angstrom
-1.5942 -0.1439 -3.5299
1.2244 -3.6554 -0.4040
-8.0569 -7.2252 3.9332



! GGA-PBE B2C, relaxed; values from VASP
! total DFT energy (no corrections) = -7.151 eV per atom
! calculated formation energy = 0.37 eV/atom
! calculated volume = 81 Å³/cell
! E above lowest polymorph = 0.57 eV/f.u.
! space-group type = Cm
&SYSTEM
  ibrav = 0, nat = 12, ntyp = 2
/
ATOMIC_SPECIES
B 10.81 B.upf
C 12.01 C.upf
ATOMIC_POSITIONS angstrom
B 0.0000 11.1079 3.1369
B 0.0000 6.6437 1.5981
B 0.0000 11.9105 -1.2139
B 0.0000 8.9089 2.3460
B 0.0000 3.6758 -0.0561
B 0.0000 4.5945 1.6065
B 0.0000 2.2994 4.2872
B 0.0000 12.6848 2.1950
C 0.0000 5.5430 0.3283
C 0.0000 8.0803 0.8513
C 0.0000 10.4242 1.7273
C 0.0000 2.1819 0.7008
CELL_PARAMETERS angstrom
1.2769 6.1446 -0.6756
-1.2769 6.1446 -0.6756
0.0000 0.9720 5.0720



! GGA-PBE MnCoRu, relaxed; values from VASP
! total DFT energy (no corrections) = -8.398 eV per atom
! calculated formation energy = 0.12 eV/atom
! calculated volume = 36 Å³/cell
! E above lowest polymorph = 0.01 eV/f.u.
! space-group type = P-6m2
&SYSTEM
  ibrav = 0, nat = 3, ntyp = 3
/
ATOMIC_SPECIES
Co 58.93 Co.upf
Mn 54.94 Mn.upf
Ru 101.07 Ru.upf
ATOMIC_POSITIONS angstrom
Co -0.3641 0.1755 0.1393
Mn -0.3106 -1.1978 2.0099
Ru -0.3774 1.4101 2.4864
CELL_PARAMETERS angstrom
-0.9717 -3.4548 1.8118
2.1047 2.7896 1.9877
-2.1851 1.0530 0.8360



! GGA-PBE BeW2Cl, relaxed; values from VASP
! total DFT energy (no corrections) = -7.416 eV per atom
! calculated volume = 61 Å³/cell
! E above lowest polymorph = 0.56 eV/f.u.
! space-group type = P4mm
&SYSTEM
  ibrav = 0, nat = 4, ntyp = 3
/
ATOMIC_SPECIES
Be 9.01 Be.upf
W 183.84 W.upf
Cl 35.45 Cl.upf
ATOMIC_POSITIONS angstrom
Be 0.0000 0.0000 2.6993
W 0.0000 0.0000 0.2663
W 1.5679 1.5679 1.8230
Cl 1.5679 1.5679 4.5899
CELL_PARAMETERS angstrom
3.1357 0.0000 0.0000
0.0000 3.1357 0.0000
0.0000 0.0000 6.2524



! GGA-PBE LiReIr3, relaxed; values from VASP
! total DFT energy (no corrections) = -7.283 eV per atom
! calculated formation energy = 0.91 eV/atom
! calculated volume = 68 Å³/cell
! E above lowest polymorph = 0.00 eV/f.u.
! space-group type = Pm-3m
&SYSTEM
  ibrav = 0, nat = 5, ntyp = 3
/
ATOMIC_SPECIES
Re 186.21 Re.upf
Li 6.94 Li.upf
Ir 192.22 Ir.upf
ATOMIC_POSITIONS angstrom
Re 1.5380 -1.6709 2.7185
Li 0.0000 0.0000 0.0000
Ir -0.9889 -0.8517 1.5745
Ir 1.1863 -1.6589 -0.1523
Ir 1.3406 0.8397 1.2962
CELL_PARAMETERS angstrom
-1.9778 -1.7034 3.1490
2.3727 -3.3178 -0.3045
2.6811 1.6794 2.5924



! GGA-PBE RhBrNO2, relaxed; values from VASP
! total DFT energy (no corrections) = -4.752 eV per atom
! calculated volume = 61 Å³/cell
! space-group type = P4/mmm
&SYSTEM
  ibrav = 0, nat = 5, ntyp = 4
/
ATOMIC_SPECIES
Br 79.90 Br.upf
O 16.00 O.upf
N 14.01 N.upf
Rh 102.91 Rh.upf
ATOMIC_POSITIONS angstrom
Br -2.8215 0.8470 1.7215
O -1.7903 0.2717 -0.7956
O -0.8104 -1.0553 1.4633
N -0.2208 1.6307 1.0538
Rh 0.0000 0.0000 0.0000
CELL_PARAMETERS angstrom
-3.5805 0.5433 -1.5911
-1.6208 -2.1107 2.9266
-0.4417 3.2615 2.1076